1.
## Sr3Ga2P4 (PBE)

Data for a relaxed Sr3Ga2P4 crystal.

- DFT formation energy (meV/atom) = -876
- polymorph energy (0 for the lowest one) (meV/atom) = 0.0

```
Sr3Ga2P4
1.0
-8.260 1.297 0.602
-3.279 -7.682 0.709
0.519 0.368 6.664
Sr Ga P
6 4 8
Cartesian
-5.877 -2.021 5.643 Sr
-5.143 -3.997 2.332 Sr
-2.212 -5.542 4.128 Sr
-4.846 -6.966 7.259 Sr
-6.174 0.948 0.716 Sr
-8.808 -0.476 3.847 Sr
-8.679 -3.377 1.466 Ga
-3.805 -0.653 3.151 Ga
-7.215 -5.365 4.824 Ga
-2.341 -2.641 6.509 Ga
-2.778 -5.333 0.689 P
-7.780 -3.302 3.692 P
-5.743 0.662 3.951 P
-6.698 -4.601 7.042 P
-8.242 -0.685 7.286 P
-4.322 -1.417 0.933 P
-5.278 -6.679 4.024 P
-3.240 -2.716 4.283 P
```

***

2.
## Sr3GaP3 (PBE)

Data for a relaxed Sr3GaP3 crystal.

- DFT formation energy (meV/atom) = -990

```
Sr3GaP3
1.0
-1.200 3.468 -5.289
-1.949 -9.596 -1.932
-11.763 1.636 3.742
Sr P Ga
12 12 4
Cartesian
-11.501 -0.285 -0.008 Sr
-10.825 3.740 -0.396 Sr
-5.619 -5.551 0.067 Sr
-3.412 -4.208 -3.471 Sr
-7.845 1.675 1.492 Sr
-9.294 1.059 -3.546 Sr
-3.268 -0.178 -4.779 Sr
-5.119 3.429 -3.039 Sr
-5.475 -1.521 -1.241 Sr
-9.438 -2.971 -2.238 Sr
-2.139 1.364 -1.151 Sr
-11.645 -4.315 1.300 Sr
-8.458 -0.465 -0.688 P
-2.157 2.927 -3.827 P
-6.126 0.572 -3.768 P
-2.471 -1.587 -2.095 P
-12.442 -2.906 -1.384 P
-2.800 -6.186 -1.119 P
-12.113 1.694 -2.360 P
-7.929 3.427 -1.471 P
-10.807 2.176 2.281 P
-5.035 1.677 -0.076 P
-8.787 -5.064 0.289 P
-6.455 -4.027 -2.791 P
-2.710 -4.771 -6.431 Ga
-0.440 -1.357 -0.790 Ga
-6.922 1.195 -1.563 Ga
-7.991 -5.688 -1.916 Ga
```

***

3.
## Sr2GaP2 (PBE)

Data for a relaxed Sr2GaP2 crystal.

- DFT formation energy (meV/atom) = -426
- polymorph energy (0 for the lowest one) (meV/atom) = 341.0

```
Sr2GaP2
1.0
8.708 0.000 0.000
0.000 8.708 0.000
0.000 0.000 3.521
Sr P Ga
4 4 2
Cartesian
7.514 5.548 0.000 Sr
5.548 1.194 0.000 Sr
3.160 7.514 0.000 Sr
1.194 3.160 0.000 Sr
7.273 2.919 1.761 P
1.435 5.789 1.761 P
5.789 7.273 1.761 P
2.919 1.435 1.761 P
4.354 4.354 0.000 Ga
0.000 0.000 0.000 Ga
```

***

4.
## SrGaP (PBE)

Data for a relaxed SrGaP crystal.

- DFT formation energy (meV/atom) = -799
- polymorph energy (0 for the lowest one) (meV/atom) = 0.0

```
SrGaP
1.0
4.641 0.000 0.000
0.000 7.310 0.000
0.000 0.000 8.777
Ga Sr P
4 4 4
Cartesian
3.481 7.234 0.665 Ga
1.160 0.076 8.112 Ga
3.481 3.579 3.724 Ga
1.160 3.731 5.053 Ga
3.481 4.590 7.359 Sr
1.160 2.720 1.418 Sr
3.481 0.935 5.807 Sr
1.160 6.375 2.970 Sr
1.160 6.125 5.987 P
3.481 4.840 1.599 P
3.481 1.185 2.789 P
1.160 2.470 7.178 P
```

***

5.
## Sr2GaP2 (PBE)

Data for a relaxed Sr2GaP2 crystal.

- DFT formation energy (meV/atom) = -759
- polymorph energy (0 for the lowest one) (meV/atom) = 8.9

```
Sr2GaP2
1.0
6.149 0.000 0.000
3.075 6.712 0.076
3.075 2.230 7.100
P Ga Sr
4 2 4
Cartesian
3.075 2.523 2.851 P
6.149 3.585 5.820 P
6.149 5.357 1.356 P
9.224 6.419 4.325 P
3.075 1.074 1.064 Ga
9.224 7.868 6.113 Ga
6.149 2.489 2.905 Sr
3.075 5.228 1.547 Sr
9.224 3.714 5.630 Sr
6.149 6.454 4.271 Sr
```

***

6.
## SrGaP (PBE)

Data for a relaxed SrGaP crystal.

- DFT formation energy (meV/atom) = -601
- polymorph energy (0 for the lowest one) (meV/atom) = 198.3

```
SrGaP
1.0
4.870 0.000 0.000
0.000 4.573 0.000
-2.435 -2.286 7.243
P Ga Sr
2 2 2
Cartesian
2.435 0.000 5.212 P
0.000 2.286 2.031 P
3.588 2.286 0.000 Ga
1.282 2.286 0.000 Ga
2.435 0.000 2.193 Sr
0.000 2.286 5.050 Sr
```

***

7.
## SrGaTcP2 (PBE)

Data for a relaxed SrGaTcP2 crystal.

- DFT formation energy (meV/atom) = -196

```
SrGaTcP2
1.0
4.725 0.000 0.000
0.000 4.875 0.000
0.000 0.000 4.725
Tc Sr P Ga
1 1 2 1
Cartesian
0.000 0.000 0.000 Tc
2.363 2.437 2.363 Sr
2.363 0.000 0.000 P
0.000 0.000 2.363 P
0.000 2.437 0.000 Ga
```

***

8.
## Sr2TlGaP (PBE)

Data for a relaxed Sr2TlGaP crystal.

- DFT formation energy (meV/atom) = -227

```
Sr2TlGaP
1.0
5.810 0.000 0.000
0.000 5.277 0.000
0.000 0.000 5.810
Sr Tl P Ga
2 1 1 1
Cartesian
0.000 0.000 2.905 Sr
2.905 0.000 0.000 Sr
0.000 2.638 0.000 Tl
0.000 0.000 0.000 P
2.905 2.638 2.905 Ga
```

***

9.
## SrY2GaP (PBE)

Data for a relaxed SrY2GaP crystal.

- DFT formation energy (meV/atom) = 25

```
SrY2GaP
1.0
5.377 0.000 0.000
0.000 5.737 0.000
0.000 0.000 5.377
Sr Ga P Y
1 1 1 2
Cartesian
0.000 2.869 0.000 Sr
0.000 0.000 0.000 Ga
2.688 2.869 2.688 P
0.000 0.000 2.688 Y
2.688 0.000 0.000 Y
```

***

10.
## Ta2GaP (PBE)

Data for a relaxed Ta2GaP crystal.

- DFT formation energy (meV/atom) = 794
- polymorph energy (0 for the lowest one) (meV/atom) = 862.2

```
Ta2GaP
1.0
-0.633 -1.384 -5.437
5.559 0.584 -0.796
3.248 -6.041 -1.772
P Ta Ga
2 4 2
Cartesian
5.635 -2.928 -2.842 P
2.463 -0.400 -3.116 P
4.380 -4.821 -3.680 Ta
4.196 -1.342 -1.715 Ta
1.122 -2.278 -3.846 Ta
6.650 -5.241 -6.768 Ta
2.539 -3.912 -5.162 Ga
0.000 0.000 0.000 Ga
```

***

11.
## Ta4GaP (PBE)

Data for a relaxed Ta4GaP crystal.

- DFT formation energy (meV/atom) = -456

```
Ta4GaP
1.0
-2.994 4.168 -0.393
-4.101 -3.255 -3.278
-2.903 -1.594 5.215
Ta P Ga
8 2 2
Cartesian
-1.932 -1.411 -0.241 Ta
-5.072 -3.438 2.178 Ta
-4.670 -0.312 -1.429 Ta
-5.328 -0.370 2.973 Ta
-3.219 0.965 1.055 Ta
-2.600 -1.601 2.829 Ta
-6.779 -1.646 0.488 Ta
-4.404 -3.248 -0.893 Ta
-5.747 0.701 0.674 P
-4.251 -1.383 0.870 P
-2.245 3.126 -0.295 Ga
-0.748 1.042 -0.098 Ga
```

***

12.
## Ta2GaP (PBE)

Data for a relaxed Ta2GaP crystal.

- DFT formation energy (meV/atom) = -68
- polymorph energy (0 for the lowest one) (meV/atom) = 0.0

```
Ta2GaP
1.0
1.037 -2.615 3.472
-2.641 -3.441 1.073
1.394 -4.188 -0.696
Ta Ga P
2 1 1
Cartesian
-0.053 -2.561 0.962 Ta
-0.158 -7.683 2.887 Ta
-0.105 -5.122 1.925 Ga
0.000 0.000 0.000 P
```

***

13.
## TaGa2P (PBE)

Data for a relaxed TaGa2P crystal.

- DFT formation energy (meV/atom) = 227

```
TaGa2P
1.0
7.347 0.000 0.000
0.000 7.347 0.000
3.674 3.674 2.539
Ga Ta P
4 2 2
Cartesian
9.184 9.000 1.904 Ga
5.326 1.837 0.635 Ga
5.510 5.695 1.904 Ga
2.021 5.510 0.635 Ga
7.347 3.674 1.269 Ta
0.000 0.000 0.000 Ta
3.674 3.674 0.000 P
3.674 7.347 1.269 P
```

***

14.
## TaGaTc2P (PBE)

Data for a relaxed TaGaTc2P crystal.

- DFT formation energy (meV/atom) = 1683

```
TaGaTc2P
1.0
4.782 0.000 0.000
0.000 4.936 0.000
0.000 0.000 4.782
Tc Ga Ta P
2 1 1 1
Cartesian
0.000 0.000 2.391 Tc
2.391 0.000 0.000 Tc
0.000 2.468 0.000 Ga
0.000 0.000 0.000 Ta
2.391 2.468 2.391 P
```

***

15.
## TaTlGaP2 (PBE)

Data for a relaxed TaTlGaP2 crystal.

- DFT formation energy (meV/atom) = 146

```
TaTlGaP2
1.0
4.848 0.000 0.000
0.000 5.210 0.000
0.000 0.000 4.848
Tl Ga Ta P
1 1 1 2
Cartesian
2.424 2.605 2.424 Tl
0.000 2.605 0.000 Ga
0.000 0.000 0.000 Ta
0.000 0.000 2.424 P
2.424 0.000 0.000 P
```

***

16.
## TaVGa2P (PBE)

Data for a relaxed TaVGa2P crystal.

- DFT formation energy (meV/atom) = 908

```
TaVGa2P
1.0
-2.545 3.443 1.554
-3.489 -1.368 -2.683
-1.543 -2.658 3.362
Ta P V Ga
1 1 1 2
Cartesian
-1.744 -0.684 -1.342 Ta
0.000 0.000 0.000 P
-3.789 -0.292 1.116 V
-1.273 1.722 0.777 Ga
-0.772 -1.329 1.681 Ga
```

***

17.
## TbGaP2 (PBE)

Data for a relaxed TbGaP2 crystal.

- DFT formation energy (meV/atom) = 143

```
TbGaP2
1.0
-3.107 -1.449 -0.723
-0.419 -3.468 0.263
-3.497 -0.739 8.014
P Ga Tb
2 1 1
Cartesian
-2.742 -1.032 5.359 P
-4.280 -4.625 2.194 P
-3.511 -2.828 3.777 Ga
0.000 0.000 0.000 Tb
```

***

18.
## Tb4GaTe2P (PBE)

Data for a relaxed Tb4GaTe2P crystal.

- energy relative to the elements, uncorrected (eV/atom) = -1.253

```
Tb4GaTe2P
1.0
-3.373 -0.313 2.385
-2.295 -5.725 -3.997
4.225 -2.599 5.635
Te Tb P Ga
2 4 1 1
Cartesian
0.965 -4.162 0.819 Te
0.426 -1.456 4.010 Te
-0.127 -6.572 2.557 Tb
-0.757 -4.854 -1.708 Tb
-1.316 -2.064 1.466 Tb
2.687 -3.470 3.346 Tb
0.000 0.000 0.000 P
-2.834 -3.019 -0.806 Ga
```

***

19.
## GaTc2P (PBE)

Data for a relaxed GaTc2P crystal.

- DFT formation energy (meV/atom) = -258
- polymorph energy (0 for the lowest one) (meV/atom) = 0.0

```
GaTc2P
1.0
-1.112 0.268 -2.739
2.654 -0.676 -1.144
-1.516 -6.005 0.029
Tc P Ga
2 1 1
Cartesian
-1.176 -4.659 0.022 Tc
-0.340 -1.346 0.007 Tc
0.771 -0.204 -1.941 P
0.013 -3.207 -1.927 Ga
```

***

20.
## Ga3TcP (PBE)

Data for a relaxed Ga3TcP crystal.

- DFT formation energy (meV/atom) = 633
- polymorph energy (0 for the lowest one) (meV/atom) = 0.0

```
Ga3TcP
1.0
-1.622 3.935 -2.311
-4.081 -0.153 2.604
2.042 2.819 3.367
Ga P Tc
3 1 1
Cartesian
-0.811 1.967 -1.155 Ga
1.021 1.410 1.683 Ga
-2.040 -0.077 1.302 Ga
-1.830 3.300 1.830 P
0.000 0.000 0.000 Tc
```

***

21.
## GaTc2P (PBE)

Data for a relaxed GaTc2P crystal.

- DFT formation energy (meV/atom) = -181
- polymorph energy (0 for the lowest one) (meV/atom) = 77.0

```
GaTc2P
1.0
2.895 0.000 0.000
1.448 2.507 0.000
1.448 0.836 7.839
Ga P Tc
1 1 2
Cartesian
2.895 1.672 3.920 Ga
0.000 0.000 0.000 P
4.343 2.507 6.068 Tc
1.448 0.836 1.772 Tc
```

***

22.
## GaTc2P (PBE)

Data for a relaxed GaTc2P crystal.

- DFT formation energy (meV/atom) = 242
- polymorph energy (0 for the lowest one) (meV/atom) = 500.6

```
GaTc2P
1.0
3.866 0.000 0.000
0.000 3.866 0.000
1.933 1.933 8.617
Tc P Ga
4 2 2
Cartesian
1.184 2.900 2.154 Tc
2.900 3.117 6.463 Tc
4.833 4.615 6.463 Tc
2.682 0.967 2.154 Tc
1.933 3.866 4.309 P
1.933 1.933 0.000 P
3.866 1.933 4.309 Ga
0.000 0.000 0.000 Ga
```

***

23.
## GaTc2P (PBE)

Data for a relaxed GaTc2P crystal.

- DFT formation energy (meV/atom) = -153
- polymorph energy (0 for the lowest one) (meV/atom) = 105.5

```
GaTc2P
1.0
0.000 3.003 3.003
3.003 0.000 3.003
3.003 3.003 0.000
Tc P Ga
2 1 1
Cartesian
4.504 4.504 4.504 Tc
1.501 1.501 1.501 Tc
0.000 0.000 0.000 P
3.003 3.003 3.003 Ga
```

***

24.
## Ga3TcP (PBE)

Data for a relaxed Ga3TcP crystal.

- DFT formation energy (meV/atom) = 926
- polymorph energy (0 for the lowest one) (meV/atom) = 292.9

```
Ga3TcP
1.0
-0.416 -3.924 -2.530
0.107 -2.547 3.933
-4.668 0.291 0.315
Tc Ga P
1 3 1
Cartesian
-2.488 -3.090 0.859 Tc
-2.334 0.146 0.158 Ga
0.053 -1.274 1.967 Ga
-0.208 -1.962 -1.265 Ga
0.000 0.000 0.000 P
```

***

25.
## GaTc2P (PBE)

Data for a relaxed GaTc2P crystal.

- DFT formation energy (meV/atom) = -238
- polymorph energy (0 for the lowest one) (meV/atom) = 19.9

```
GaTc2P
1.0
2.915 0.000 0.000
1.458 2.525 0.000
1.458 0.842 7.703
P Tc Ga
1 2 1
Cartesian
2.915 1.683 0.006 P
1.458 0.842 5.936 Tc
1.458 0.842 1.766 Tc
2.915 1.683 3.847 Ga
```